Record 1
Computed, not measured: Tl2Ir2Se at its PBEsol-relaxed geometry at the meta-GGA SCAN level of DFT.

Unit cell a=8.614 b=8.614 c=8.614 alpha=155.93 beta=155.93 gamma=34.30
Atoms (fractional coordinates):
Tl 0.105 0.105 0.000
Tl 0.895 0.895 0.000
Ir 0.250 0.750 0.500
Ir 0.750 0.250 0.500
Se 0.500 0.500 0.000

For the total magnetization, the calculation gives 0.000 μB per atom. The density is 13.64 g/cm³. As for the raw formation energy: 0.52 eV/atom. The volume is 21.24 A^3/atom. As for the energy above the most stable polymorph in this dataset: 0 meV/atom.

---

Record 2
Computed, not measured: Li3GeSb at its PBEsol-relaxed geometry at the meta-GGA SCAN level of DFT.

Unit cell a=4.679 b=4.679 c=4.679 alpha=90.00 beta=90.00 gamma=90.00
Atoms (fractional coordinates):
Li 0.000 0.000 0.500
Li 0.000 0.500 0.000
Li 0.500 0.000 0.000
Ge 0.000 0.000 0.000
Sb 0.500 0.500 0.500

For the total magnetization, the calculation gives 0.000 μB per atom. The density is 3.49 g/cm³. As for the raw formation energy: 0.07 eV/atom. The volume is 20.49 A^3/atom.

---

Record 3
Computed, not measured: Ba2TiFeO6 at its PBEsol-relaxed geometry at the meta-GGA SCAN level of DFT.

Unit cell a=5.625 b=5.625 c=13.718 alpha=90.00 beta=90.00 gamma=120.00
Atoms (fractional coordinates):
Ba 0.000 0.000 0.000
Ba 0.000 0.000 0.313
Ba 0.333 0.667 0.493
Ba 0.333 0.667 0.814
Ba 0.667 0.333 0.156
Ba 0.667 0.333 0.650
Ti 0.000 0.000 0.751
Ti 0.667 0.333 0.401
Ti 0.667 0.333 0.911
Fe 0.000 0.000 0.559
Fe 0.333 0.667 0.064
Fe 0.333 0.667 0.243
O 0.003 0.502 0.320
O 0.004 0.502 0.985
O 0.148 0.296 0.646
O 0.148 0.852 0.646
O 0.188 0.377 0.153
O 0.188 0.812 0.153
O 0.328 0.164 0.483
O 0.335 0.168 0.821
O 0.498 0.502 0.320
O 0.498 0.502 0.985
O 0.498 0.996 0.985
O 0.498 0.997 0.320
O 0.623 0.812 0.153
O 0.704 0.852 0.646
O 0.832 0.168 0.821
O 0.832 0.665 0.821
O 0.836 0.164 0.483
O 0.836 0.672 0.483

For the total magnetization, the calculation gives 0.043 μB per atom. The density is 6.29 g/cm³. As for the raw formation energy: -2.80 eV/atom. The volume is 12.53 A^3/atom.

---

Record 4
Computed, not measured: Ce2BiN at its PBEsol-relaxed geometry at the meta-GGA SCAN level of DFT.

Unit cell a=4.607 b=4.607 c=9.057 alpha=90.00 beta=90.00 gamma=90.00
Atoms (fractional coordinates):
Ce 0.250 0.250 0.168
Ce 0.250 0.750 0.500
Ce 0.750 0.250 0.500
Ce 0.750 0.750 0.832
Bi 0.250 0.250 0.798
Bi 0.750 0.750 0.202
N 0.250 0.250 0.409
N 0.750 0.750 0.591

For the total magnetization, the calculation gives 0.457 μB per atom. The density is 8.69 g/cm³. As for the raw formation energy: -1.35 eV/atom. The volume is 24.03 A^3/atom.

---

Record 5
Computed, not measured: Sr2ZrHg at its PBEsol-relaxed geometry at the meta-GGA SCAN level of DFT.

Unit cell a=3.681 b=3.681 c=9.595 alpha=90.00 beta=90.00 gamma=90.00
Atoms (fractional coordinates):
Sr 0.000 0.000 0.000
Sr 0.500 0.500 0.363
Zr 0.500 0.500 0.741
Hg 0.000 0.000 0.595

For the total magnetization, the calculation gives 0.421 μB per atom. The density is 5.97 g/cm³. The energy of formation from the pure elements is -0.0536 eV/atom. The volume is 32.50 A^3/atom.

---

Record 6
Computed, not measured: Ni2OsCl at its PBEsol-relaxed geometry at the meta-GGA SCAN level of DFT.

Unit cell a=4.887 b=4.887 c=4.887 alpha=147.75 beta=126.89 gamma=63.51
Atoms (fractional coordinates):
Ni 0.237 0.237 0.000
Ni 0.763 0.763 0.000
Os 0.500 0.000 0.500
Cl 0.000 0.500 0.500

For the total magnetization, the calculation gives 0.462 μB per atom. The density is 11.56 g/cm³. As for the raw formation energy: 0.92 eV/atom. The volume is 12.32 A^3/atom. As for the energy above the most stable polymorph in this dataset: 331 meV/atom.

---

Record 7
Computed, not measured: CoRhBrCl2 at its PBEsol-relaxed geometry at the meta-GGA SCAN level of DFT.

Unit cell a=4.620 b=4.620 c=5.036 alpha=90.00 beta=90.00 gamma=90.00
Atoms (fractional coordinates):
Co 0.000 0.000 0.000
Rh 0.500 0.500 0.500
Br 0.500 0.500 0.000
Cl 0.000 0.500 0.500
Cl 0.500 0.000 0.500

For the total magnetization, the calculation gives 0.440 μB per atom. The density is 4.83 g/cm³. As for the raw formation energy: 0.13 eV/atom. The volume is 21.49 A^3/atom.

---

Record 8
Computed, not measured: HoTmZn2 at its PBEsol-relaxed geometry at the meta-GGA SCAN level of DFT.

Unit cell a=4.913 b=4.913 c=4.913 alpha=60.00 beta=60.00 gamma=60.00
Atoms (fractional coordinates):
Ho 0.000 0.000 0.000
Tm 0.500 0.500 0.500
Zn 0.250 0.250 0.250
Zn 0.750 0.750 0.750

For the total magnetization, the calculation gives 0.000 μB per atom. The density is 9.20 g/cm³. The energy of formation from the pure elements is -0.4319 eV/atom. The volume is 20.96 A^3/atom.

---

Record 9
Computed, not measured: MnFe4Rh at its PBEsol-relaxed geometry at the meta-GGA SCAN level of DFT.

Unit cell a=4.610 b=4.610 c=4.610 alpha=60.00 beta=60.00 gamma=60.00
Atoms (fractional coordinates):
Mn 0.000 0.000 0.000
Fe 0.375 0.375 0.375
Fe 0.375 0.375 0.875
Fe 0.375 0.875 0.375
Fe 0.875 0.375 0.375
Rh 0.750 0.750 0.750

For the total magnetization, the calculation gives 1.050 μB per atom. The density is 9.14 g/cm³. The energy of formation from the pure elements is -0.0864 eV/atom. The volume is 11.54 A^3/atom.

---

Record 10
Computed, not measured: Cu3Ag3P2S8 at its PBEsol-relaxed geometry at the meta-GGA SCAN level of DFT.

Unit cell a=6.204 b=6.315 c=7.564 alpha=89.62 beta=89.68 gamma=89.65
Atoms (fractional coordinates):
Cu 0.000 0.000 0.000
Cu 0.005 0.985 0.495
Cu 0.512 0.631 0.497
Ag 0.509 0.148 0.249
Ag 0.519 0.621 0.990
Ag 0.994 0.441 0.740
P 0.002 0.490 0.251
P 0.491 0.120 0.741
S 0.333 0.505 0.262
S 0.363 0.988 0.970
S 0.369 0.960 0.523
S 0.395 0.433 0.727
S 0.827 0.083 0.746
S 0.872 0.648 0.470
S 0.904 0.172 0.250
S 0.909 0.647 0.021

For the total magnetization, the calculation gives 0.000 μB per atom. The density is 4.67 g/cm³. As for the raw formation energy: -0.30 eV/atom. The volume is 18.52 A^3/atom.

---

Record 11
Computed, not measured: Zn2PtW at its PBEsol-relaxed geometry at the meta-GGA SCAN level of DFT.

Unit cell a=2.688 b=4.336 c=5.011 alpha=90.00 beta=92.69 gamma=90.00
Atoms (fractional coordinates):
Zn 0.090 0.000 0.239
Zn 0.910 0.000 0.761
Pt 0.000 0.500 0.500
W 0.500 0.500 0.000

For the total magnetization, the calculation gives 0.000 μB per atom. The density is 14.51 g/cm³. The energy of formation from the pure elements is -0.0375 eV/atom. The volume is 14.58 A^3/atom.

---

Record 12
Computed, not measured: Rb3NbI at its PBEsol-relaxed geometry at the meta-GGA SCAN level of DFT.

Unit cell a=6.737 b=6.737 c=6.737 alpha=90.00 beta=90.00 gamma=90.00
Atoms (fractional coordinates):
Rb 0.000 0.000 0.500
Rb 0.000 0.500 0.000
Rb 0.500 0.000 0.000
Nb 0.500 0.500 0.500
I 0.000 0.000 0.000

For the total magnetization, the calculation gives 1.009 μB per atom. The density is 2.59 g/cm³. As for the raw formation energy: 0.38 eV/atom. The volume is 61.15 A^3/atom.

---

Record 13
Computed, not measured: CaTaAs2 at its PBEsol-relaxed geometry at the meta-GGA SCAN level of DFT.

Unit cell a=2.891 b=2.891 c=10.168 alpha=90.00 beta=90.00 gamma=96.26
Atoms (fractional coordinates):
Ca 0.000 0.000 0.000
Ta 0.500 0.500 0.731
As 0.000 0.000 0.540
As 0.500 0.500 0.222

For the total magnetization, the calculation gives 0.068 μB per atom. The density is 7.29 g/cm³. The energy of formation from the pure elements is 0.0847 eV/atom. The volume is 21.11 A^3/atom. As for the energy above the most stable polymorph in this dataset: 879 meV/atom.

---

Record 14
Computed, not measured: LiTiCrO4 at its PBEsol-relaxed geometry at the meta-GGA SCAN level of DFT.

Unit cell a=5.827 b=5.827 c=5.827 alpha=119.32 beta=119.31 gamma=91.19
Atoms (fractional coordinates):
Li 0.376 0.126 0.250
Li 0.624 0.874 0.750
Ti 0.000 0.500 0.500
Ti 0.500 0.500 0.000
Cr 0.000 0.000 0.500
Cr 0.000 0.500 0.000
O 0.213 0.739 0.473
O 0.234 0.261 0.973
O 0.242 0.269 0.527
O 0.242 0.716 0.973
O 0.758 0.284 0.027
O 0.758 0.731 0.473
O 0.766 0.739 0.027
O 0.787 0.261 0.527

For the total magnetization, the calculation gives 0.429 μB per atom. The density is 4.01 g/cm³. As for the raw formation energy: -2.87 eV/atom. The volume is 10.09 A^3/atom. As for the energy above the most stable polymorph in this dataset: 0 meV/atom.

---

Record 15
Computed, not measured: Be2AlW at its PBEsol-relaxed geometry at the meta-GGA SCAN level of DFT.

Unit cell a=2.767 b=2.767 c=6.173 alpha=90.00 beta=90.00 gamma=90.00
Atoms (fractional coordinates):
Be 0.000 0.000 0.000
Be 0.500 0.500 0.159
Al 0.500 0.500 0.735
W 0.000 0.000 0.418

For the total magnetization, the calculation gives 0.000 μB per atom. The density is 8.04 g/cm³. The energy of formation from the pure elements is 0.2041 eV/atom. The volume is 11.82 A^3/atom.

---

Record 16
Computed, not measured: ZrCoAg2 at its PBEsol-relaxed geometry at the meta-GGA SCAN level of DFT.

Unit cell a=2.801 b=4.577 c=5.167 alpha=90.00 beta=105.14 gamma=90.00
Atoms (fractional coordinates):
Zr 0.000 0.000 0.000
Co 0.500 0.000 0.500
Ag 0.340 0.500 0.732
Ag 0.660 0.500 0.268

For the total magnetization, the calculation gives 0.331 μB per atom. The density is 9.50 g/cm³. The energy of formation from the pure elements is 0.1671 eV/atom. The volume is 15.99 A^3/atom. As for the energy above the most stable polymorph in this dataset: 103 meV/atom.

---

Record 17
Computed, not measured: TaAlRe2 at its PBEsol-relaxed geometry at the meta-GGA SCAN level of DFT.

Unit cell a=3.179 b=3.179 c=5.962 alpha=90.00 beta=90.00 gamma=90.00
Atoms (fractional coordinates):
Ta 0.000 0.000 0.000
Al 0.000 0.000 0.500
Re 0.500 0.500 0.260
Re 0.500 0.500 0.740

For the total magnetization, the calculation gives 0.000 μB per atom. The density is 15.99 g/cm³. The energy of formation from the pure elements is -0.3362 eV/atom. The volume is 15.07 A^3/atom.

---

Record 18
Computed, not measured: CaCuTc2 at its PBEsol-relaxed geometry at the meta-GGA SCAN level of DFT.

Unit cell a=5.420 b=5.420 c=2.584 alpha=98.23 beta=98.23 gamma=121.85
Atoms (fractional coordinates):
Ca 0.000 0.000 0.000
Cu 0.500 0.500 0.000
Tc 0.000 0.500 0.500
Tc 0.500 0.000 0.500

For the total magnetization, the calculation gives 0.000 μB per atom. The density is 8.07 g/cm³. The energy of formation from the pure elements is 0.5494 eV/atom. The volume is 15.40 A^3/atom. As for the energy above the most stable polymorph in this dataset: 134 meV/atom.

---

Record 19
Computed, not measured: LiScFe2 at its PBEsol-relaxed geometry at the meta-GGA SCAN level of DFT.

Unit cell a=8.943 b=8.943 c=8.943 alpha=18.24 beta=18.24 gamma=18.24
Atoms (fractional coordinates):
Li 0.000 0.000 0.000
Sc 0.228 0.228 0.228
Fe 0.481 0.481 0.481
Fe 0.749 0.749 0.749

For the total magnetization, the calculation gives 1.257 μB per atom. The density is 4.44 g/cm³. The energy of formation from the pure elements is 0.3125 eV/atom. The volume is 15.29 A^3/atom.

---

Record 20
Computed, not measured: BaSc2Se at its PBEsol-relaxed geometry at the meta-GGA SCAN level of DFT.

Unit cell a=6.060 b=6.060 c=6.320 alpha=119.19 beta=119.19 gamma=33.95
Atoms (fractional coordinates):
Ba 0.000 0.000 0.000
Sc 0.158 0.158 0.694
Sc 0.374 0.374 0.372
Se 0.730 0.730 0.466

For the total magnetization, the calculation gives 0.000 μB per atom. The density is 4.56 g/cm³. As for the raw formation energy: -0.63 eV/atom. The volume is 27.88 A^3/atom.